(1)
TiHgI3: optimized geometry, PBE.

The energy relative to the lowest polymorph listed for this composition is 0.0 meV/atom. For the total magnetic moment, the calculation gives 1.00 μB/f.u. The density of states at the Fermi level is 6.588 states/eV/cell. For the formation energy (no corrections), the calculation gives -0.581 eV/atom. The value obtained for the electronic total energy is -0.1158 Ha/atom.

The space group is P-1 (No. 2) and the conventional cell measures 6.987, 7.000 and 10.894 Å, with angles of 72.49, 73.53 and 60.94 degrees. The inequivalent atoms are Ti at (0.155, 0.155, 0.000), Hg at (0.297, 0.407, 0.496), I at (0.107, 0.449, 0.153), I at (0.192, 0.914, 0.827) and I at (0.456, 0.800, 0.154).



(2)
ZrOs: optimized geometry, PBE.

For the total magnetic moment, the calculation gives 0.00 μB/f.u. The density of states at the Fermi level is 8.441 states/eV/cell. As for the formation energy: -143 meV/atom. The value obtained for the electronic total energy is -0.3687 Ha/atom.

The space group is Cm (No. 8) and the conventional cell measures 10.469, 3.355 and 6.457 Å, with angles of 90.00, 108.43 and 90.00 degrees. The inequivalent atoms are Zr at (0.000, 0.000, 0.000), Zr at (0.015, 0.000, 0.522), Zr at (0.317, 0.000, 0.171), Os at (0.169, 0.500, 0.350), Os at (0.170, 0.500, 0.845) and Os at (0.341, 0.000, 0.671).



(3)
ZrSbIrI2: optimized geometry, PBE.

The energy relative to the lowest polymorph listed for this composition is 285.4 meV/atom. For the total magnetic moment, the calculation gives 2.37 μB/f.u. The density of states at the Fermi level is 7.009 states/eV/cell. For the formation energy (no corrections), the calculation gives 1.016 eV/atom. The value obtained for the electronic total energy is -0.1437 Ha/atom.

The space group is P4/mmm (No. 123) and the conventional cell measures 5.526, 5.526 and 5.821 Å, with angles of 90.00, 90.00 and 90.00 degrees. The inequivalent atoms are Zr at (0.000, 0.000, 0.000), Sb at (0.000, 0.000, 0.500), Ir at (0.500, 0.500, 0.500) and I at (0.000, 0.500, 0.000).